Entry 1:
First-principles (PBE) data for crystalline ZnAgSe at its relaxed geometry, as listed in Alexandria.

Unit cell a=6.619 b=6.619 c=6.619 alpha=153.60 beta=153.60 gamma=37.68
Element x y z (fractional)
1 Ag 0.022 0.022 0.000
2 Se 0.315 0.315 0.000
3 Zn 0.663 0.663 0.000

Results
total magnetization = 0.00 μB per formula unit
V = 57.3 Å³/cell
ρ = 7.3 g/cm³
E_form (uncorrected) = 141 meV per atom

***

Entry 2:
First-principles (PBE) data for crystalline ZnAg3Se at its relaxed geometry, as listed in Alexandria.

Unit cell a=5.114 b=5.114 c=5.114 alpha=90.00 beta=90.00 gamma=90.00
Element x y z (fractional)
1 Zn 0.500 0.500 0.500
2 Se 0.000 0.000 0.000
3 Ag 0.000 0.500 0.000
4 Ag 0.000 0.000 0.500
5 Ag 0.500 0.000 0.000

Results
total magnetization = 0.00 μB per formula unit
V = 133.7 Å³/cell
ρ = 5.8 g/cm³
E_form (uncorrected) = 395 meV per atom

***

Entry 3:
First-principles (PBE) data for crystalline ZnAg2Se at its relaxed geometry, as listed in Alexandria.

Unit cell a=2.993 b=2.993 c=8.587 alpha=90.00 beta=90.00 gamma=106.46
Element x y z (fractional)
1 Ag 0.000 0.000 0.984
2 Ag 0.500 0.500 0.241
3 Se 0.000 0.000 0.520
4 Zn 0.500 0.500 0.755

Results
total magnetization = 0.00 μB per formula unit
V = 73.8 Å³/cell
ρ = 8.1 g/cm³
E_form (uncorrected) = 112 meV per atom

***

Entry 4:
First-principles (PBE) data for crystalline ZnAgSe2 at its relaxed geometry, as listed in Alexandria.

Unit cell a=3.857 b=3.857 c=5.435 alpha=90.00 beta=90.00 gamma=90.00
Element x y z (fractional)
1 Ag 0.500 0.500 0.874
2 Se 0.000 0.000 0.875
3 Se 0.500 0.500 0.374
4 Zn 0.000 0.000 0.378

Results
total magnetization = 0.00 μB per formula unit
V = 80.8 Å³/cell
ρ = 6.8 g/cm³
E_form (uncorrected) = -205 meV per atom

***

Entry 5:
First-principles (PBE) data for crystalline Zn2AgSe at its relaxed geometry, as listed in Alexandria.

Unit cell a=4.286 b=4.286 c=5.984 alpha=105.63 beta=105.63 gamma=52.77
Element x y z (fractional)
1 Ag 0.592 0.592 0.521
2 Se 0.239 0.239 0.253
3 Zn 0.956 0.956 0.749
4 Zn 0.713 0.713 0.977

Results
total magnetization = 0.00 μB per formula unit
V = 83.5 Å³/cell
ρ = 6.3 g/cm³
E_form (uncorrected) = -78 meV per atom

***

Entry 6:
First-principles (PBE) data for crystalline Zn2AgSe at its relaxed geometry, as listed in Alexandria.

Unit cell a=3.626 b=3.626 c=5.464 alpha=90.00 beta=90.00 gamma=90.00
Element x y z (fractional)
1 Ag 0.500 0.500 0.250
2 Se 0.500 0.500 0.750
3 Zn 0.000 0.000 0.002
4 Zn 0.000 0.000 0.498

Results
total magnetization = 0.00 μB per formula unit
V = 71.9 Å³/cell
ρ = 7.3 g/cm³
E_form (uncorrected) = 24 meV per atom

***

Entry 7:
First-principles (PBE) data for crystalline ZnAgSe2 at its relaxed geometry, as listed in Alexandria.

Unit cell a=8.160 b=8.160 c=8.160 alpha=26.46 beta=26.46 gamma=26.46
Element x y z (fractional)
1 Zn 0.500 0.500 0.500
2 Se 0.895 0.895 0.895
3 Se 0.105 0.105 0.105
4 Ag 0.000 0.000 0.000

Results
total magnetization = 0.00 μB per formula unit
V = 95.1 Å³/cell
ρ = 5.8 g/cm³
E_form (uncorrected) = -120 meV per atom

***

Entry 8:
First-principles (PBE) data for crystalline ZnAgSe2 at its relaxed geometry, as listed in Alexandria.

Unit cell a=3.784 b=4.205 c=5.443 alpha=72.89 beta=90.00 gamma=90.00
Element x y z (fractional)
1 Ag 0.500 0.750 0.750
2 Se 0.000 0.009 0.010
3 Se 0.000 0.491 0.490
4 Zn 0.500 0.250 0.250

Results
total magnetization = 0.00 μB per formula unit
V = 82.8 Å³/cell
ρ = 6.6 g/cm³
E_form (uncorrected) = -36 meV per atom

***

Entry 9:
First-principles (PBE) data for crystalline ZnAg3Se at its relaxed geometry, as listed in Alexandria.

Unit cell a=4.856 b=4.856 c=4.856 alpha=90.00 beta=90.00 gamma=90.00
Element x y z (fractional)
1 Zn 0.000 0.000 0.000
2 Se 0.500 0.500 0.500
3 Ag 0.000 0.500 0.000
4 Ag 0.000 0.000 0.500
5 Ag 0.500 0.000 0.000

Results
total magnetization = 0.00 μB per formula unit
V = 114.5 Å³/cell
ρ = 6.8 g/cm³
E_form (uncorrected) = 517 meV per atom

***

Entry 10:
First-principles (PBE) data for crystalline ZnAgSe2 at its relaxed geometry, as listed in Alexandria.

Unit cell a=4.365 b=4.365 c=7.208 alpha=90.00 beta=90.00 gamma=130.08
Element x y z (fractional)
1 Ag 0.500 0.500 0.750
2 Se 0.000 0.000 0.017
3 Se 0.000 0.000 0.483
4 Zn 0.500 0.500 0.250

Results
total magnetization = 0.00 μB per formula unit
V = 105.1 Å³/cell
ρ = 5.2 g/cm³
E_form (uncorrected) = -6 meV per atom

***

Entry 11:
First-principles (PBE) data for crystalline Zn2AgSe at its relaxed geometry, as listed in Alexandria.

Unit cell a=6.522 b=6.522 c=6.522 alpha=147.34 beta=147.34 gamma=46.86
Element x y z (fractional)
1 Ag 0.500 0.500 0.000
2 Se 0.750 0.250 0.500
3 Zn 0.000 0.000 0.000
4 Zn 0.250 0.750 0.500

Results
total magnetization = 0.00 μB per formula unit
V = 80.5 Å³/cell
ρ = 6.6 g/cm³
E_form (uncorrected) = 54 meV per atom

***

Entry 12:
First-principles (PBE) data for crystalline ZnAg2Se at its relaxed geometry, as listed in Alexandria.

Unit cell a=4.033 b=4.033 c=10.013 alpha=78.38 beta=78.38 gamma=90.00
Element x y z (fractional)
1 Zn 0.500 0.500 0.000
2 Zn 0.250 0.750 0.500
3 Se 0.000 0.000 0.000
4 Se 0.750 0.250 0.500
5 Ag 0.617 0.125 0.250
6 Ag 0.133 0.625 0.250
7 Ag 0.375 0.383 0.750
8 Ag 0.875 0.867 0.750

Results
total magnetization = 0.00 μB per formula unit
V = 156.1 Å³/cell
ρ = 7.7 g/cm³
E_form (uncorrected) = 63 meV per atom